MgV8O8F8, relaxed, DFT GGA+U; E above lowest polymorph = 2.92 kJ per mole of atoms; volume = 291.8 Å³/cell; SG = No. 1
1.0
4.906 0.001 0.002
0.060 5.721 -0.001
0.049 0.944 10.397
Mg V O F
1 8 8 8
direct
0.001 0.758 0.263
0.525 0.250 0.734
0.474 0.507 0.007
0.490 0.750 0.262
0.516 0.987 0.485
0.018 0.750 0.764
0.973 0.262 0.230
0.021 0.467 0.525
0.988 0.017 0.974
0.206 0.473 0.681
0.218 0.734 0.925
0.249 0.513 0.178
0.249 0.731 0.419
0.704 0.258 0.565
0.746 0.999 0.321
0.782 0.276 0.073
0.781 0.019 0.812
0.209 0.226 0.410
0.216 0.000 0.161
0.305 0.241 0.915
0.300 0.981 0.660
0.729 0.761 0.094
0.705 0.517 0.833
0.774 0.501 0.336
0.792 0.748 0.585